Material: RbCrGa3
Method: DFT, PBE
State: optimized geometry

Output
The space group is Pm-3m. The formation energy is 0.130 eV/atom. Its calculated total energy is -3.804 eV/atom. Its energy relative to the lowest polymorph listed for this composition is 0.000 kcal/mol of atoms.

Cell: 4.875 4.875 4.875 Å, 90.00 90.00 90.00°
Positions (direct):
Cr: 0.000 0.000 0.000
Ga: 0.000 0.500 0.000
Ga: 0.000 0.000 0.500
Ga: 0.500 0.000 0.000
Rb: 0.500 0.500 0.500